5
Lattice="-3.802 3.046 1.026 -2.844 -3.929 1.126 1.499 0.273 4.740" Properties=species:S:1:pos:R:3 comment="Mn3AgHg GGA-PBE optimized geometry" crystal_system=cubic relative_energy_mev_per_atom=0.0 density_g_cm3=6.37 pbc="T T T"
Hg -2.574 -0.305 3.446
Mn -1.901 1.523 0.513
Mn -1.422 -1.965 0.563
Ag 0.000 0.000 0.000
Mn 0.749 0.137 2.370